# 1
# MgSbPb2, optimized geometry, DFT GGA-PBE
# uncorrected formation energy: -0.030 eV per atom
# energy relative to the lowest polymorph listed for this composition: 1.9 meV/atom
# DOS at the Fermi energy: 3.65 states/eV/cell
# magnetic moment: 0.0 μB per formula unit
data_MgSbPb2
_chemical_formula_sum 'Mg2 Sb2 Pb4'
_symmetry_space_group_name_H-M 'C 1 2/m 1'
_symmetry_Int_Tables_number 12
_symmetry_space_group_name_Hall '-C 2y'
_cell_length_a 13.621
_cell_length_b 4.183
_cell_length_c 4.387
_cell_angle_alpha 90.00
_cell_angle_beta 108.04
_cell_angle_gamma 90.00
loop_
_atom_site_label
_atom_site_fract_x
_atom_site_fract_y
_atom_site_fract_z
_atom_site_occupancy
Mg1 0.000 0.000 0.000 1
Sb1 0.000 0.500 0.500 1
Pb1 0.195 0.000 0.697 1

---

# 2
# DyYCd4, optimized geometry, DFT GGA-PBE
# energy relative to the lowest polymorph listed for this composition: 0.0 meV/atom
# DOS at the Fermi energy: 4.20 states/eV/cell
# energy of formation: -0.33 eV per atom
# magnetic moment: 0.0 μB per formula unit
data_DyYCd4
_chemical_formula_sum 'Dy1 Y1 Cd4'
_symmetry_space_group_name_H-M 'P m m m'
_symmetry_Int_Tables_number 47
_symmetry_space_group_name_Hall '-P 2 2'
_cell_length_a 3.455
_cell_length_b 4.976
_cell_length_c 8.586
_cell_angle_alpha 90.00
_cell_angle_beta 90.00
_cell_angle_gamma 90.00
loop_
_atom_site_label
_atom_site_fract_x
_atom_site_fract_y
_atom_site_fract_z
_atom_site_occupancy
Dy1 0.000 0.000 0.000 1
Y1 0.000 0.500 0.500 1
Cd1 0.500 0.000 0.333 1
Cd2 0.500 0.500 0.167 1

---

Repeat the first record exactly.
# MgSbPb2, optimized geometry, DFT GGA-PBE
# uncorrected formation energy: -0.030 eV per atom
# energy relative to the lowest polymorph listed for this composition: 1.9 meV/atom
# DOS at the Fermi energy: 3.65 states/eV/cell
# magnetic moment: 0.0 μB per formula unit
data_MgSbPb2
_chemical_formula_sum 'Mg2 Sb2 Pb4'
_symmetry_space_group_name_H-M 'C 1 2/m 1'
_symmetry_Int_Tables_number 12
_symmetry_space_group_name_Hall '-C 2y'
_cell_length_a 13.621
_cell_length_b 4.183
_cell_length_c 4.387
_cell_angle_alpha 90.00
_cell_angle_beta 108.04
_cell_angle_gamma 90.00
loop_
_atom_site_label
_atom_site_fract_x
_atom_site_fract_y
_atom_site_fract_z
_atom_site_occupancy
Mg1 0.000 0.000 0.000 1
Sb1 0.000 0.500 0.500 1
Pb1 0.195 0.000 0.697 1